! Tl3ZnOs | Alexandria | GGA-PBE | optimized geometry; values from VASP
&SYSTEM
  ibrav = 0, nat = 5, ntyp = 3
/
ATOMIC_SPECIES
Tl 204.38 Tl.upf
Zn 65.41 Zn.upf
Os 190.23 Os.upf
ATOMIC_POSITIONS crystal
Tl 0.0000 0.0000 0.5000
Tl 0.0000 0.5000 0.0000
Tl 0.5000 0.0000 0.0000
Zn 0.5000 0.5000 0.5000
Os 0.0000 0.0000 0.0000
CELL_PARAMETERS angstrom
5.3302 0.0000 0.0000
0.0000 5.3302 0.0000
0.0000 0.0000 5.3302
! SG	No. 221
! energy of formation from the pure elements	0.500	eV/atom
! offset from the most stable computed form	0.000	eV/atom

---

! Mg2CdW | Alexandria | GGA-PBE | optimized geometry; values from VASP
&SYSTEM
  ibrav = 0, nat = 4, ntyp = 3
/
ATOMIC_SPECIES
Mg 24.30 Mg.upf
Cd 112.41 Cd.upf
W 183.84 W.upf
ATOMIC_POSITIONS crystal
Mg 0.0000 0.0000 0.2351
Mg 0.0000 0.0000 0.7649
Cd 0.5000 0.5000 0.5000
W 0.5000 0.5000 0.0000
CELL_PARAMETERS angstrom
1.8215 -2.2054 0.0000
1.8215 2.2054 0.0000
0.0000 0.0000 9.3488
! SG	No. 65
! energy of formation from the pure elements	0.225	eV/atom

---

! La2ZrF | Alexandria | GGA-PBE | optimized geometry; values from VASP
&SYSTEM
  ibrav = 0, nat = 4, ntyp = 3
/
ATOMIC_SPECIES
La 138.91 La.upf
Zr 91.22 Zr.upf
F 19.00 F.upf
ATOMIC_POSITIONS crystal
La 0.2500 0.2500 0.2500
La 0.7500 0.7500 0.7500
Zr 0.0000 0.0000 0.0000
F 0.5000 0.5000 0.5000
CELL_PARAMETERS angstrom
0.0000 3.7580 3.7580
3.7580 0.0000 3.7580
3.7580 3.7580 0.0000
! SG	No. 225
! offset from the most stable computed form	0.405	eV/atom
! formation energy from raw total energies	-254	meV/atom

---

! MgZrCd4 | Alexandria | GGA-PBE | optimized geometry; values from VASP
&SYSTEM
  ibrav = 0, nat = 6, ntyp = 3
/
ATOMIC_SPECIES
Mg 24.30 Mg.upf
Zr 91.22 Zr.upf
Cd 112.41 Cd.upf
ATOMIC_POSITIONS crystal
Mg 0.0000 0.0000 0.0000
Zr 0.5000 0.5000 0.5000
Cd 0.0000 0.0000 0.3296
Cd 0.0000 0.0000 0.6704
Cd 0.5000 0.5000 0.1631
Cd 0.5000 0.5000 0.8369
CELL_PARAMETERS angstrom
3.2578 0.0000 0.0000
0.0000 3.2578 0.0000
0.0000 0.0000 12.2074
! SG	No. 123
! energy of formation from the pure elements	-0.082	eV/atom
! offset from the most stable computed form	0.011	eV/atom

---

! Er3Cd2Au2 | Alexandria | GGA-PBE | optimized geometry; values from VASP
&SYSTEM
  ibrav = 0, nat = 7, ntyp = 3
/
ATOMIC_SPECIES
Er 167.26 Er.upf
Cd 112.41 Cd.upf
Au 196.97 Au.upf
ATOMIC_POSITIONS crystal
Er 0.0000 0.0000 0.0000
Er 0.1607 0.8393 0.0000
Er 0.8393 0.1607 0.0000
Cd 0.4234 0.5766 0.5000
Cd 0.5766 0.4234 0.5000
Au 0.2916 0.7084 0.5000
Au 0.7084 0.2916 0.5000
CELL_PARAMETERS angstrom
2.0256 -11.4874 0.0000
2.0256 11.4874 0.0000
0.0000 0.0000 3.6316
! SG	No. 65
! energy of formation from the pure elements	-0.560	eV/atom

---

! Np2SnSe5 | Alexandria | GGA-PBE | optimized geometry; values from VASP
&SYSTEM
  ibrav = 0, nat = 16, ntyp = 3
/
ATOMIC_SPECIES
Np 237.00 Np.upf
Sn 118.71 Sn.upf
Se 78.96 Se.upf
ATOMIC_POSITIONS crystal
Np 0.1459 0.8541 0.5575
Np 0.1459 0.8541 0.9425
Np 0.8541 0.1459 0.0575
Np 0.8541 0.1459 0.4425
Sn 0.2110 0.7890 0.2500
Sn 0.7890 0.2110 0.7500
Se 0.0492 0.9508 0.1165
Se 0.0492 0.9508 0.3835
Se 0.2256 0.7744 0.7500
Se 0.3255 0.6745 0.0536
Se 0.3255 0.6745 0.4464
Se 0.6745 0.3255 0.5536
Se 0.6745 0.3255 0.9464
Se 0.7744 0.2256 0.2500
Se 0.9508 0.0492 0.6165
Se 0.9508 0.0492 0.8835
CELL_PARAMETERS angstrom
2.8161 -6.7134 0.0000
2.8161 6.7134 0.0000
0.0000 0.0000 13.9771
! SG	No. 63
! offset from the most stable computed form	0.040	eV/atom
! formation energy from raw total energies	-838	meV/atom